Version 1
LaHo2Rh after structural relaxation. Source: Alexandria, functional GGA-PBE.

Volume in Å³ per cell: 108
DOS(E_F) in states/eV per cell: 4.69
ρ in g cm⁻³: 8.8

Lattice parameters (Å, degrees): 3.4924 3.4924 8.8900 90.00 90.00 90.00
With the nearest neighbours (Å) after each atom.
Space group P4/mmm (No. 123)
Inequivalent atoms, fractional coordinates:
La1 0.0000 0.0000 0.0000 (multiplicity 1)  4 La 3.49, 8 Ho 3.75
Ho1 0.5000 0.5000 0.3179 (multiplicity 2)  4 Rh 2.95, 1 Ho 3.24
Rh1 0.0000 0.0000 0.5000 (multiplicity 1)  8 Ho 2.95


Version 2
LaHo2Rh after structural relaxation. Source: Alexandria, functional GGA-PBE.

Volume in Å³ per cell: 377
DOS(E_F) in states/eV per cell: 14.03
ρ in g cm⁻³: 7.6

Lattice parameters (Å, degrees): 3.7084 3.7084 31.6316 90.00 90.00 120.00
With the nearest neighbours (Å) after each atom.
Space group R-3m (No. 166, hexagonal axes)
Inequivalent atoms, fractional coordinates:
La1 0.0000 0.0000 0.0000 (multiplicity 3)  2 Ho 3.59, 6 La 3.71
Ho1 0.0000 0.0000 0.1136 (multiplicity 6)  3 Rh 2.72
Rh1 0.0000 0.0000 0.5000 (multiplicity 3)  6 Ho 2.72


Version 3
LaHo2Rh after structural relaxation. Source: Alexandria, functional GGA-PBE.

Volume in Å³ per cell: 446
DOS(E_F) in states/eV per cell: 21.08
ρ in g cm⁻³: 8.5

Lattice parameters (Å, degrees): 3.8137 12.2215 9.5734 90.00 90.00 90.00
With the nearest neighbours (Å) after each atom.
Space group Cmcm (No. 63)
Inequivalent atoms, fractional coordinates:
La1 0.0000 0.0747 0.2500 (multiplicity 4)  2 Rh 2.93
Ho1 0.0000 0.3580 0.0691 (multiplicity 8)  2 Rh 2.86
Rh1 0.0000 0.2429 0.7500 (multiplicity 4)  4 Ho 2.86, 2 La 2.93


Version 4
LaHo2Rh after structural relaxation. Source: Alexandria, functional GGA-PBE.

Volume in Å³ per cell: 448
DOS(E_F) in states/eV per cell: 17.03
ρ in g cm⁻³: 8.5

Lattice parameters (Å, degrees): 7.2254 9.5704 6.4769 90.00 90.00 90.00
With the nearest neighbours (Å) after each atom.
Space group Pnma (No. 62)
Inequivalent atoms, fractional coordinates:
La1 0.0403 0.2500 0.1368 (multiplicity 4)  2 Rh 2.78-3.03
Ho1 0.1745 0.0659 0.6679 (multiplicity 8)  2 Rh 2.85-2.86
Rh1 0.1218 0.7500 0.4322 (multiplicity 4)  2 La 2.78-3.03, 4 Ho 2.85-2.86


Going by the energies, version 4 is most stable and the next is 32 meV per atom up.


Version 1
LaHoRh after structural relaxation. Source: Alexandria, functional GGA-PBE.

Volume in Å³ per cell: 336
DOS(E_F) in states/eV per cell: 13.68
ρ in g cm⁻³: 8.0

Lattice parameters (Å, degrees): 6.9533 6.9533 6.9533 90.00 90.00 90.00
With the nearest neighbours (Å) after each atom.
Space group F-43m (No. 216)
Inequivalent atoms, fractional coordinates:
La1 0.0000 0.0000 0.0000 (multiplicity 4)  4 Rh 3.01
Ho1 0.0000 0.0000 0.5000 (multiplicity 4)  4 Rh 3.01
Rh1 0.2500 0.2500 0.7500 (multiplicity 4)  4 La 3.01, 4 Ho 3.01


Version 2
LaHoRh after structural relaxation. Source: Alexandria, functional GGA-PBE.

Volume in Å³ per cell: 92
DOS(E_F) in states/eV per cell: 2.86
ρ in g cm⁻³: 7.3

Lattice parameters (Å, degrees): 4.1022 4.1022 6.3355 90.00 90.00 120.00
With the nearest neighbours (Å) after each atom.
Space group P3m1 (No. 156)
Inequivalent atoms, fractional coordinates:
La1 0.0000 0.0000 0.0000 (multiplicity 1)  3 Rh 2.84
Ho1 0.3333 0.6667 0.5263 (multiplicity 1)  3 Rh 2.77
Rh1 0.6667 0.3333 0.7527 (multiplicity 1)  3 Ho 2.77, 3 La 2.84


Version 3
LaHoRh after structural relaxation. Source: Alexandria, functional GGA-PBE.

Volume in Å³ per cell: 363
DOS(E_F) in states/eV per cell: 8.89
ρ in g cm⁻³: 7.5

Lattice parameters (Å, degrees): 6.5808 7.0336 10.1127 90.00 129.24 90.00
With the nearest neighbours (Å) after each atom.
Space group P2_1/c (No. 14)
Inequivalent atoms, fractional coordinates:
La1 0.1452 0.0820 0.3857 (multiplicity 4)  3 Rh 2.83-2.86
Ho1 0.3738 0.5772 0.6155 (multiplicity 4)  3 Rh 2.77-2.81
Rh1 0.3587 0.7449 0.3572 (multiplicity 4)  3 Ho 2.77-2.81, 3 La 2.83-2.86


Going by the energies, version 3 is most stable and the next is 46 meV per atom up.


Version 1
LaHoRh after structural relaxation. Source: Alexandria, functional GGA-PBE.

Volume in Å³ per cell: 161
DOS(E_F) in states/eV per cell: 7.68
ρ in g cm⁻³: 8.4

Lattice parameters (Å, degrees): 3.5215 3.5215 12.9893 90.00 90.00 90.00
With the nearest neighbours (Å) after each atom.
Space group I4mm (No. 107)
Inequivalent atoms, fractional coordinates:
La1 0.0000 0.0000 0.0000 (multiplicity 2)  4 Rh 3.10, 1 Ho 3.35
Ho1 0.0000 0.0000 0.2577 (multiplicity 2)  4 Rh 2.90
Rh1 0.0000 0.0000 0.6426 (multiplicity 2)  4 Ho 2.90, 4 La 3.10


Version 2
LaHoRh after structural relaxation. Source: Alexandria, functional GGA-PBE.

Volume in Å³ per cell: 161
DOS(E_F) in states/eV per cell: 5.37
ρ in g cm⁻³: 8.4

Lattice parameters (Å, degrees): 4.7906 4.8794 6.9476 90.00 97.26 90.00
With the nearest neighbours (Å) after each atom.
Space group P2_1/m (No. 11)
Inequivalent atoms, fractional coordinates:
La1 0.2412 0.2500 0.3935 (multiplicity 2)  1 Rh 2.70
Ho1 0.2631 0.7500 0.0053 (multiplicity 2)  4 Rh 2.76-2.92
Rh1 0.1763 0.2500 0.7735 (multiplicity 2)  1 La 2.70, 4 Ho 2.76-2.92


Going by the energies, version 2 is most stable and the next is 102 meV per atom up.


Version 1
LaHo2Ru after structural relaxation. Source: Alexandria, functional GGA-PBE.

Volume in Å³ per cell: 443
DOS(E_F) in states/eV per cell: 17.83
ρ in g cm⁻³: 8.6

Lattice parameters (Å, degrees): 7.2834 9.4197 6.4518 90.00 90.00 90.00
With the nearest neighbours (Å) after each atom.
Space group Pnma (No. 62)
Inequivalent atoms, fractional coordinates:
La1 0.0498 0.2500 0.1337 (multiplicity 4)  2 Ru 2.64-2.93
Ho1 0.1732 0.0673 0.6676 (multiplicity 8)  2 Ru 2.88-2.93
Ru1 0.1238 0.7500 0.4558 (multiplicity 4)  2 La 2.64-2.93, 4 Ho 2.88-2.93


Version 2
LaHo2Ru after structural relaxation. Source: Alexandria, functional GGA-PBE.

Volume in Å³ per cell: 345
DOS(E_F) in states/eV per cell: 17.57
ρ in g cm⁻³: 8.2

Lattice parameters (Å, degrees): 3.5170 3.5170 32.2488 90.00 90.00 120.00
With the nearest neighbours (Å) after each atom.
Space group R-3m (No. 166, hexagonal axes)
Inequivalent atoms, fractional coordinates:
La1 0.0000 0.0000 0.0000 (multiplicity 3)  2 Ho 3.50, 6 La 3.52
Ho1 0.0000 0.0000 0.1085 (multiplicity 6)  3 Ru 2.76
Ru1 0.0000 0.0000 0.5000 (multiplicity 3)  6 Ho 2.76


Version 3
LaHo2Ru after structural relaxation. Source: Alexandria, functional GGA-PBE.

Volume in Å³ per cell: 109
DOS(E_F) in states/eV per cell: 3.19
ρ in g cm⁻³: 8.7

Lattice parameters (Å, degrees): 3.4383 3.4383 9.2169 90.00 90.00 90.00
With the nearest neighbours (Å) after each atom.
Space group P4/mmm (No. 123)
Inequivalent atoms, fractional coordinates:
La1 0.0000 0.0000 0.0000 (multiplicity 1)  4 La 3.44, 8 Ho 3.85
Ho1 0.5000 0.5000 0.3239 (multiplicity 2)  4 Ru 2.92, 1 Ho 3.25
Ru1 0.0000 0.0000 0.5000 (multiplicity 1)  8 Ho 2.92


Going by the energies, version 1 is most stable and the next is 58 meV per atom up.


Version 1
LaHoS2 after structural relaxation. Source: Alexandria, functional GGA-PBE.

Volume in Å³ per cell: 184
DOS(E_F) in states/eV per cell: 3.44
ρ in g cm⁻³: 6.7

Lattice parameters (Å, degrees): 6.8933 3.9933 7.0573 90.00 109.11 90.00
With the nearest neighbours (Å) after each atom.
Space group C2/m (No. 12)
Inequivalent atoms, fractional coordinates:
La1 0.0000 0.0000 0.0000 (multiplicity 2)  6 S 2.93
Ho1 0.0000 0.5000 0.5000 (multiplicity 2)  6 S 2.75-2.76
S1 0.2425 0.0000 0.7273 (multiplicity 4)  3 Ho 2.75-2.76, 3 La 2.93


Version 2
LaHoS2 after structural relaxation. Source: Alexandria, functional GGA-PBE.

Volume in Å³ per cell: 280
DOS(E_F) in states/eV per cell: 2.68
ρ in g cm⁻³: 6.5

Lattice parameters (Å, degrees): 3.9365 3.9365 20.8928 90.00 90.00 120.00
With the nearest neighbours (Å) after each atom.
Space group R3m (No. 160, hexagonal axes)
Inequivalent atoms, fractional coordinates:
La1 0.0000 0.0000 0.0000 (multiplicity 3)  6 S 2.90-3.04
Ho1 0.0000 0.0000 0.1773 (multiplicity 3)  6 S 2.70-2.83
S1 0.0000 0.0000 0.5806 (multiplicity 3)  3 Ho 2.70, 3 La 2.90
S2 0.0000 0.0000 0.7632 (multiplicity 3)  3 Ho 2.83, 3 La 3.04


Going by the energies, version 1 is most stable and the next is 63 meV per atom up.


Version 1
La3HoS6 after structural relaxation. Source: Alexandria, functional GGA-PBE.

Volume in Å³ per cell: 1740
DOS(E_F) in states/eV per cell: 0.00
ρ in g cm⁻³: 4.4

Lattice parameters (Å, degrees): 11.9741 11.9741 14.0139 90.00 90.00 120.00
With the nearest neighbours (Å) after each atom.
Space group R-3 (No. 148, hexagonal axes)
Inequivalent atoms, fractional coordinates:
La1 0.0474 0.2699 0.2020 (multiplicity 18)  6 S 2.86-2.93
Ho1 0.0000 0.0000 0.0000 (multiplicity 3)  6 S 2.70
Ho2 0.0000 0.0000 0.5000 (multiplicity 3)  6 S 2.74
S1 0.0252 0.2091 0.4012 (multiplicity 18)  1 Ho 2.74, 3 La 2.86-2.93
S2 0.0307 0.1902 0.8804 (multiplicity 18)  1 Ho 2.70, 3 La 2.87-2.93


Version 2
La3HoS6 after structural relaxation. Source: Alexandria, functional GGA-PBE.

Volume in Å³ per cell: 529
ρ in g cm⁻³: 4.9

Lattice parameters (Å, degrees): 11.3176 4.1468 11.7838 90.00 107.00 90.00
With the nearest neighbours (Å) after each atom.
Space group P2_1/m (No. 11)
Inequivalent atoms, fractional coordinates:
La1 0.0814 0.2500 0.1700 (multiplicity 2)  6 S 2.81-2.95
La2 0.1846 0.7500 0.5091 (multiplicity 2)  7 S 2.82-3.12
La3 0.3387 0.2500 0.9168 (multiplicity 2)  6 S 2.83-2.91
Ho1 0.4595 0.2500 0.3226 (multiplicity 2)  6 S 2.81-3.00
S1 0.0265 0.2500 0.3880 (multiplicity 2)  4 La 2.81-2.98
S2 0.0897 0.2500 0.9271 (multiplicity 2)  4 La 2.84-2.89
S3 0.2604 0.7500 0.2872 (multiplicity 2)  3 La 2.95-2.98, 2 Ho 3.00, 1 S 3.20
S4 0.3247 0.7500 0.7497 (multiplicity 2)  1 Ho 2.81, 3 La 2.82-2.83
S5 0.3983 0.2500 0.5415 (multiplicity 2)  3 Ho 2.82-2.86, 2 La 3.12
S6 0.4126 0.7500 0.0972 (multiplicity 2)  3 La 2.87-2.91, 1 S 3.20


Going by the energies, version 1 is most stable and the next is 73 meV per atom up.